{
  "formula": "SrTlAg2F6",
  "functional": "GGA-PBE",
  "state": "relaxed",
  "dos_at_fermi_per_ev_cell": 8.9,
  "total_energy_ev_per_cell": -82.528,
  "formation_energy_uncorrected_ev_per_atom": -2.03,
  "cell": [[6.2094, 0.0000, 0.0000], [0.0000, 6.3478, 0.0000], [-6.1070, 0.0000, 8.9947]],
  "species": ["Sr", "Sr", "Tl", "Tl", "Ag", "Ag", "Ag", "Ag", "F", "F", "F", "F", "F", "F", "F", "F", "F", "F", "F", "F"],
  "fractional_positions": [[0.0000, 0.0000, 0.0000], [0.0000, 0.5000, 0.5000], [0.5000, 0.0000, 0.5000], [0.5000, 0.5000, 0.0000], [0.2634, 0.0555, 0.7533], [0.2634, 0.4445, 0.2533], [0.7366, 0.5555, 0.7467], [0.7366, 0.9445, 0.2467], [0.1171, 0.0932, 0.2509], [0.1171, 0.4068, 0.7509], [0.2532, 0.6768, 0.0766], [0.2532, 0.8232, 0.5766], [0.4026, 0.1794, 0.0736], [0.4026, 0.3206, 0.5736], [0.5974, 0.6794, 0.4264], [0.5974, 0.8206, 0.9264], [0.7468, 0.1768, 0.4234], [0.7468, 0.3232, 0.9234], [0.8829, 0.5932, 0.2491], [0.8829, 0.9068, 0.7491]]
}

{
  "formula": "Sr2TbBi3Rh4",
  "functional": "GGA-PBE",
  "state": "relaxed",
  "delta_e_f_mev_per_atom": -540,
  "dos_at_fermi_per_ev_cell": 7.8,
  "total_energy_ev_per_cell": -54.442,
  "cell": [[4.5591, 0.0000, 0.0000], [0.0000, 4.5591, 0.0000], [0.0000, 0.0000, 11.7883]],
  "species": ["Sr", "Sr", "Tb", "Bi", "Bi", "Bi", "Rh", "Rh", "Rh", "Rh"],
  "fractional_positions": [[0.0000, 0.5000, 0.2359], [0.5000, 0.0000, 0.7641], [0.0000, 0.0000, 0.5000], [0.0000, 0.5000, 0.8705], [0.5000, 0.0000, 0.1295], [0.5000, 0.5000, 0.5000], [0.0000, 0.0000, 0.0000], [0.0000, 0.5000, 0.6411], [0.5000, 0.0000, 0.3589], [0.5000, 0.5000, 0.0000]]
}

{
  "formula": "LiMnPd5",
  "functional": "GGA-PBE",
  "state": "relaxed",
  "delta_e_f_mev_per_atom": -101,
  "dos_at_fermi_per_ev_cell": 7.5,
  "total_energy_ev_per_cell": -37.754,
  "cell": [[3.9825, 0.0000, 0.0000], [0.0000, 3.9825, 0.0000], [0.0000, 0.0000, 6.7401]],
  "species": ["Li", "Mn", "Pd", "Pd", "Pd", "Pd", "Pd"],
  "fractional_positions": [[0.0000, 0.0000, 0.0000], [0.5000, 0.5000, 0.5000], [0.0000, 0.0000, 0.5000], [0.0000, 0.5000, 0.2171], [0.0000, 0.5000, 0.7829], [0.5000, 0.0000, 0.2171], [0.5000, 0.0000, 0.7829]]
}

{
  "formula": "BaLiIr2",
  "functional": "GGA-PBE",
  "state": "relaxed",
  "delta_e_f_mev_per_atom": 256,
  "dos_at_fermi_per_ev_cell": 3.2,
  "total_energy_ev_per_cell": -20.534,
  "cell": [[2.9721, 0.0000, 0.0000], [0.0000, 4.5417, 0.0000], [-1.3689, 0.0000, 6.0707]],
  "species": ["Ba", "Li", "Ir", "Ir"],
  "fractional_positions": [[0.0000, 0.0000, 0.0000], [0.5000, 0.0000, 0.5000], [0.3268, 0.5000, 0.6734], [0.6732, 0.5000, 0.3266]]
}

{
  "formula": "Ac2TmSe4",
  "functional": "GGA-PBE",
  "state": "relaxed",
  "dos_at_fermi_per_ev_cell": 0.8,
  "total_energy_ev_per_cell": -39.947,
  "formation_energy_uncorrected_ev_per_atom": -1.90,
  "cell": [[6.7319, -2.0784, 0.0000], [6.7319, 2.0784, 0.0000], [-4.3102, 0.0000, 7.4503]],
  "species": ["Ac", "Ac", "Tm", "Se", "Se", "Se", "Se"],
  "fractional_positions": [[0.1504, 0.1504, 0.1982], [0.8496, 0.8496, 0.8018], [0.5000, 0.5000, 0.5000], [0.1604, 0.1604, 0.5738], [0.4405, 0.4405, 0.1355], [0.5595, 0.5595, 0.8645], [0.8396, 0.8396, 0.4262]]
}

{
  "formula": "Pr2MgIrO6",
  "functional": "GGA-PBE",
  "state": "relaxed",
  "dos_at_fermi_per_ev_cell": 13.4,
  "total_energy_ev_per_cell": -148.502,
  "formation_energy_uncorrected_ev_per_atom": -2.45,
  "cell": [[5.5305, 0.0000, 0.0000], [0.0000, 5.7627, 0.0000], [-5.5054, 0.0000, 7.9077]],
  "species": ["Pr", "Pr", "Pr", "Pr", "Mg", "Mg", "Ir", "Ir", "O", "O", "O", "O", "O", "O", "O", "O", "O", "O", "O", "O"],
  "fractional_positions": [[0.2350, 0.0591, 0.2506], [0.2350, 0.4409, 0.7506], [0.7650, 0.5591, 0.2494], [0.7650, 0.9409, 0.7494], [0.5000, 0.0000, 0.0000], [0.5000, 0.5000, 0.5000], [0.0000, 0.0000, 0.5000], [0.0000, 0.5000, 0.0000], [0.1476, 0.2074, 0.9505], [0.1476, 0.2926, 0.4505], [0.2475, 0.7032, 0.9510], [0.2475, 0.7968, 0.4510], [0.3412, 0.0266, 0.7479], [0.3412, 0.4734, 0.2479], [0.6588, 0.5266, 0.7521], [0.6588, 0.9734, 0.2521], [0.7525, 0.2032, 0.5490], [0.7525, 0.2968, 0.0490], [0.8524, 0.7074, 0.5495], [0.8524, 0.7926, 0.0495]]
}

Repeat the third record exactly.
{
  "formula": "LiMnPd5",
  "functional": "GGA-PBE",
  "state": "relaxed",
  "delta_e_f_mev_per_atom": -101,
  "dos_at_fermi_per_ev_cell": 7.5,
  "total_energy_ev_per_cell": -37.754,
  "cell": [[3.9825, 0.0000, 0.0000], [0.0000, 3.9825, 0.0000], [0.0000, 0.0000, 6.7401]],
  "species": ["Li", "Mn", "Pd", "Pd", "Pd", "Pd", "Pd"],
  "fractional_positions": [[0.0000, 0.0000, 0.0000], [0.5000, 0.5000, 0.5000], [0.0000, 0.0000, 0.5000], [0.0000, 0.5000, 0.2171], [0.0000, 0.5000, 0.7829], [0.5000, 0.0000, 0.2171], [0.5000, 0.0000, 0.7829]]
}